Model A:
The following is a DFT calculation (meta-GGA SCAN) of a crystal of LiLaTc2 relaxed with PBEsol.

Properties
- space group = C2/m

Unit cell a=5.4000 b=5.4000 c=2.9421 alpha=102.11 beta=102.11 gamma=121.05
Closest atoms and distances in Å follow each position.
Atoms (fractional coordinates):
Li 0.0000 0.0000 0.0000  2 La 2.66, 4 Tc 2.79, 2 Li 2.94
La 0.5000 0.5000 0.0000  2 Li 2.66, 4 Tc 2.79, 2 La 2.94
Tc 0.0000 0.5000 0.5000  4 Tc 2.66-2.94, 2 Li 2.79, 2 La 2.79
Tc 0.5000 0.0000 0.5000  4 Tc 2.66-2.94, 2 Li 2.79, 2 La 2.79

Model B:
The following is a DFT calculation (meta-GGA SCAN) of a crystal of LiLaTc2 relaxed with PBEsol.

Properties
- space group = R-3m

Unit cell a=10.3433 b=10.3433 c=10.3433 alpha=15.50 beta=15.50 gamma=15.50
Closest atoms and distances in Å follow each position.
Atoms (fractional coordinates):
Li 0.0000 0.0000 0.0000  6 Li 2.79, 6 Tc 2.82
La 0.5000 0.5000 0.5000  6 La 2.79
Tc 0.2578 0.2578 0.2578  6 Tc 2.79, 3 Li 2.82
Tc 0.7422 0.7422 0.7422  6 Tc 2.79, 3 Li 2.82

Stability verdict: model A, ahead by 281 meV per atom

Model A:
The following is a DFT calculation (meta-GGA SCAN) of a crystal of LiLaTi2 relaxed with PBEsol.

Properties
- space group = I-42d

Unit cell a=10.5215 b=10.5215 c=10.5215 alpha=158.20 beta=158.20 gamma=31.02
Closest atoms and distances in Å follow each position.
Atoms (fractional coordinates):
Li 0.0000 0.0000 0.0000  4 La 2.81, 4 Ti 2.89
Li 0.7500 0.2500 0.5000  4 La 2.81, 4 Ti 2.89
La 0.2500 0.7500 0.5000  4 Li 2.81, 4 Ti 2.91
La 0.5000 0.5000 0.0000  4 Li 2.81, 4 Ti 2.91
Ti 0.1174 0.6250 0.9924  4 Ti 2.77-2.86, 2 Li 2.89, 2 La 2.91
Ti 0.3750 0.3674 0.4924  4 Ti 2.77-2.86, 2 Li 2.89, 2 La 2.91
Ti 0.6326 0.1250 0.0076  4 Ti 2.77-2.86, 2 Li 2.89, 2 La 2.91
Ti 0.8750 0.8826 0.5076  4 Ti 2.77-2.86, 2 Li 2.89, 2 La 2.91

Model B:
The following is a DFT calculation (meta-GGA SCAN) of a crystal of LiLaTi2 relaxed with PBEsol.

Properties
- space group = Fm-3m

Unit cell a=4.7627 b=4.7627 c=4.7627 alpha=60.00 beta=60.00 gamma=60.00
Closest atoms and distances in Å follow each position.
Atoms (fractional coordinates):
Li 0.0000 0.0000 0.0000  8 Ti 2.92
La 0.5000 0.5000 0.5000  8 Ti 2.92
Ti 0.2500 0.2500 0.2500  4 La 2.92, 4 Li 2.92
Ti 0.7500 0.7500 0.7500  4 La 2.92, 4 Li 2.92

Stability verdict: model A, ahead by 70 meV per atom